First-principles (meta-GGA SCAN) data for ZrSbAsSe2 at its PBEsol-relaxed geometry, as listed in Alexandria via LeMat-Bulk.

POSCAR file:
```
ZrSbAsSe2
1.0
-2.1816 -3.4801 3.0316
4.4941 -0.8471 2.2616
-1.0387 3.6353 3.4256
Se Sb Zr As
2 1 1 1
Cartesian
-0.5193 1.8176 1.7128
2.2470 -0.4235 1.1308
0.0000 0.0000 0.0000
0.6369 -0.3459 4.3594
-1.0908 -1.7400 1.5158
```

Calculated values
**Magnetic moment**: 0.8 μB per formula unit
**Offset from the most stable computed form**: 632.1 meV/atom
**Crystal system**: tetragonal
**E_tot**: -25.115 eV/atom